[1]
Here is HoZrRh4 after structural relaxation from Alexandria via LeMat-Bulk. Energies are from PBE.

```
data_HoZrRh4
_space_group_name_H-M_alt 'F -4 3 m'
_space_group_IT_number 216
_space_group_name_Hall 'F -4 2 3'
_cell_length_a 7.4544
_cell_length_b 7.4544
_cell_length_c 7.4544
_cell_angle_alpha 90.00
_cell_angle_beta 90.00
_cell_angle_gamma 90.00
loop_
_atom_site_label
_atom_site_type_symbol
_atom_site_fract_x
_atom_site_fract_y
_atom_site_fract_z
Ho1 Ho 0.0000 0.0000 0.0000
Zr1 Zr 0.2500 0.2500 0.2500
Rh1 Rh 0.1250 0.1250 0.6250
```

Calculated values
For the total magnetization, the calculation gives 0.00 μB per cell. The energy above the lowest structure with this stoichiometry is 0.000 eV per atom. For the calculated total energy, the calculation gives -7.753 eV per atom.

[2]
Here is HoZrRh after structural relaxation from Alexandria via LeMat-Bulk. Energies are from PBE.

```
data_HoZrRh
_space_group_name_H-M_alt 'R -3 m'
_space_group_IT_number 166
_space_group_name_Hall '-R 3 2"'
_cell_length_a 4.5566
_cell_length_b 4.5566
_cell_length_c 22.6094
_cell_angle_alpha 90.00
_cell_angle_beta 90.00
_cell_angle_gamma 120.00
loop_
_atom_site_label
_atom_site_type_symbol
_atom_site_fract_x
_atom_site_fract_y
_atom_site_fract_z
Ho1 Ho 0.0000 0.0000 0.2124
Zr1 Zr 0.0000 0.0000 0.3645
Rh1 Rh 0.0000 0.0000 0.0671
```

Calculated values
For the total magnetization, the calculation gives 0.00 μB per cell. The energy above the lowest structure with this stoichiometry is 0.087 eV per atom. For the calculated total energy, the calculation gives -7.336 eV per atom.

[3]
Here is HoZrRh4 after structural relaxation from Alexandria via LeMat-Bulk. Energies are from PBE.

```
data_HoZrRh4
_space_group_name_H-M_alt 'P m m m'
_space_group_IT_number 47
_space_group_name_Hall '-P 2 2'
_cell_length_a 3.1370
_cell_length_b 4.5399
_cell_length_c 7.8404
_cell_angle_alpha 90.00
_cell_angle_beta 90.00
_cell_angle_gamma 90.00
loop_
_atom_site_label
_atom_site_type_symbol
_atom_site_fract_x
_atom_site_fract_y
_atom_site_fract_z
Ho1 Ho 0.0000 0.0000 0.0000
Zr1 Zr 0.5000 0.5000 0.5000
Rh1 Rh 0.0000 0.5000 0.2261
Rh2 Rh 0.5000 0.0000 0.2984
```

Calculated values
For the total magnetization, the calculation gives 0.00 μB per cell. The energy above the lowest structure with this stoichiometry is 0.342 eV per atom. For the calculated total energy, the calculation gives -7.411 eV per atom.

[4]
Here is Ho2ZrRh3 after structural relaxation from Alexandria via LeMat-Bulk. Energies are from PBE.

```
data_Ho2ZrRh3
_space_group_name_H-M_alt 'P -3 m 1'
_space_group_IT_number 164
_space_group_name_Hall '-P 3 2"'
_cell_length_a 4.7639
_cell_length_b 4.7639
_cell_length_c 11.7357
_cell_angle_alpha 90.00
_cell_angle_beta 90.00
_cell_angle_gamma 120.00
loop_
_atom_site_label
_atom_site_type_symbol
_atom_site_fract_x
_atom_site_fract_y
_atom_site_fract_z
Ho1 Ho 0.0000 0.0000 0.0000
Ho2 Ho 0.0000 0.0000 0.5000
Ho3 Ho 0.3333 0.6667 0.1678
Zr1 Zr 0.3333 0.6667 0.6655
Rh1 Rh 0.0000 0.0000 0.2588
Rh2 Rh 0.3333 0.6667 0.4157
Rh3 Rh 0.3333 0.6667 0.9052
```

Calculated values
For the total magnetization, the calculation gives 0.00 μB per cell. The energy above the lowest structure with this stoichiometry is 0.014 eV per atom. For the calculated total energy, the calculation gives -7.475 eV per atom.

[5]
Here is Ho3ZrRh3 after structural relaxation from Alexandria via LeMat-Bulk. Energies are from PBE.

```
data_Ho3ZrRh3
_space_group_name_H-M_alt 'C 1 2/m 1'
_space_group_IT_number 12
_space_group_name_Hall '-C 2y'
_cell_length_a 10.3302
_cell_length_b 9.2899
_cell_length_c 6.5736
_cell_angle_alpha 90.00
_cell_angle_beta 99.38
_cell_angle_gamma 90.00
loop_
_atom_site_label
_atom_site_type_symbol
_atom_site_fract_x
_atom_site_fract_y
_atom_site_fract_z
Ho1 Ho 0.0000 0.1915 0.0000
Ho2 Ho 0.0000 0.2860 0.5000
Ho3 Ho 0.2005 0.5000 0.0083
Zr1 Zr 0.2139 0.0000 0.4523
Rh1 Rh 0.0508 0.0000 0.7109
Rh2 Rh 0.2473 0.2506 0.7422
```

Calculated values
For the total magnetization, the calculation gives 0.00 μB per cell. For the calculated total energy, the calculation gives -7.020 eV per atom.

[6]
Here is HoZrRh after structural relaxation from Alexandria via LeMat-Bulk. Energies are from PBE.

```
data_HoZrRh
_space_group_name_H-M_alt 'A m m 2'
_space_group_IT_number 38
_space_group_name_Hall 'A 2 -2'
_cell_length_a 4.6846
_cell_length_b 12.1428
_cell_length_c 7.0150
_cell_angle_alpha 90.00
_cell_angle_beta 90.00
_cell_angle_gamma 90.00
loop_
_atom_site_label
_atom_site_type_symbol
_atom_site_fract_x
_atom_site_fract_y
_atom_site_fract_z
Ho1 Ho 0.0000 0.0000 0.0000
Ho2 Ho 0.0000 0.2059 0.6176
Zr1 Zr 0.5000 0.0000 0.6685
Zr2 Zr 0.5000 0.1287 0.2834
Rh1 Rh 0.0000 0.0000 0.4099
Rh2 Rh 0.5000 0.1662 0.9119
```

Calculated values
For the total magnetization, the calculation gives 0.00 μB per cell. The energy above the lowest structure with this stoichiometry is 0.000 eV per atom. For the calculated total energy, the calculation gives -7.424 eV per atom.

[7]
Here is Ho2ZrRh3 after structural relaxation from Alexandria via LeMat-Bulk. Energies are from PBE.

```
data_Ho2ZrRh3
_space_group_name_H-M_alt 'P 4/m m m'
_space_group_IT_number 123
_space_group_name_Hall '-P 4 2'
_cell_length_a 3.3910
_cell_length_b 3.3910
_cell_length_c 10.0565
_cell_angle_alpha 90.00
_cell_angle_beta 90.00
_cell_angle_gamma 90.00
loop_
_atom_site_label
_atom_site_type_symbol
_atom_site_fract_x
_atom_site_fract_y
_atom_site_fract_z
Ho1 Ho 0.0000 0.0000 0.1677
Zr1 Zr 0.0000 0.0000 0.5000
Rh1 Rh 0.5000 0.5000 0.0000
Rh2 Rh 0.5000 0.5000 0.3479
```

Calculated values
For the total magnetization, the calculation gives 0.00 μB per cell. The energy above the lowest structure with this stoichiometry is 0.000 eV per atom. For the calculated total energy, the calculation gives -7.489 eV per atom.

[8]
Here is Ho4ZrRh5 after structural relaxation from Alexandria via LeMat-Bulk. Energies are from PBE.

```
data_Ho4ZrRh5
_space_group_name_H-M_alt 'P 4/m m m'
_space_group_IT_number 123
_space_group_name_Hall '-P 4 2'
_cell_length_a 3.3571
_cell_length_b 3.3571
_cell_length_c 17.3072
_cell_angle_alpha 90.00
_cell_angle_beta 90.00
_cell_angle_gamma 90.00
loop_
_atom_site_label
_atom_site_type_symbol
_atom_site_fract_x
_atom_site_fract_y
_atom_site_fract_z
Ho1 Ho 0.0000 0.0000 0.1010
Ho2 Ho 0.0000 0.0000 0.3025
Zr1 Zr 0.0000 0.0000 0.5000
Rh1 Rh 0.5000 0.5000 0.0000
Rh2 Rh 0.5000 0.5000 0.2029
Rh3 Rh 0.5000 0.5000 0.4102
```

Calculated values
For the total magnetization, the calculation gives 0.00 μB per cell. For the calculated total energy, the calculation gives -7.241 eV per atom.

[9]
Here is Ho3Ru2 after structural relaxation from Alexandria via LeMat-Bulk. Energies are from PBE.

```
data_Ho3Ru2
_space_group_name_H-M_alt 'C m c m'
_space_group_IT_number 63
_space_group_name_Hall '-C 2c 2'
_cell_length_a 4.2352
_cell_length_b 11.1186
_cell_length_c 9.7924
_cell_angle_alpha 90.00
_cell_angle_beta 90.00
_cell_angle_gamma 90.00
loop_
_atom_site_label
_atom_site_type_symbol
_atom_site_fract_x
_atom_site_fract_y
_atom_site_fract_z
Ho1 Ho 0.0000 0.0940 0.2500
Ho2 Ho 0.0000 0.3533 0.0635
Ru1 Ru 0.0000 0.0000 0.0000
Ru2 Ru 0.0000 0.1930 0.7500
```

Calculated values
For the total magnetization, the calculation gives 0.00 μB per cell. The energy above the lowest structure with this stoichiometry is 0.003 eV per atom. For the calculated total energy, the calculation gives -6.750 eV per atom.

[10]
Here is Ho8Ru3 after structural relaxation from Alexandria via LeMat-Bulk. Energies are from PBE.

```
data_Ho8Ru3
_space_group_name_H-M_alt 'R -3'
_space_group_IT_number 148
_space_group_name_Hall '-R 3'
_cell_length_a 9.3446
_cell_length_b 9.3446
_cell_length_c 11.7749
_cell_angle_alpha 90.00
_cell_angle_beta 90.00
_cell_angle_gamma 120.00
loop_
_atom_site_label
_atom_site_type_symbol
_atom_site_fract_x
_atom_site_fract_y
_atom_site_fract_z
Ho1 Ho 0.0000 0.0000 0.1510
Ho2 Ho 0.0457 0.2677 0.6139
Ru1 Ru 0.0000 0.5000 0.5000
```

Calculated values
For the total magnetization, the calculation gives 0.00 μB per cell. For the calculated total energy, the calculation gives -6.099 eV per atom.

[11]
Here is Ho3Ru after structural relaxation from Alexandria via LeMat-Bulk. Energies are from PBE.

```
data_Ho3Ru
_space_group_name_H-M_alt 'I m m 2'
_space_group_IT_number 44
_space_group_name_Hall 'I 2 -2'
_cell_length_a 3.5545
_cell_length_b 10.8143
_cell_length_c 5.2605
_cell_angle_alpha 90.00
_cell_angle_beta 90.00
_cell_angle_gamma 90.00
loop_
_atom_site_label
_atom_site_type_symbol
_atom_site_fract_x
_atom_site_fract_y
_atom_site_fract_z
Ho1 Ho 0.0000 0.0000 0.0000
Ho2 Ho 0.0000 0.1980 0.5000
Ru1 Ru 0.0000 0.5000 0.9977
```

Calculated values
For the total magnetization, the calculation gives 0.00 μB per cell. For the calculated total energy, the calculation gives -5.998 eV per atom.

[12]
Here is Ho3Ru2 after structural relaxation from Alexandria via LeMat-Bulk. Energies are from PBE.

```
data_Ho3Ru2
_space_group_name_H-M_alt 'C 1 2/m 1'
_space_group_IT_number 12
_space_group_name_Hall '-C 2y'
_cell_length_a 14.2164
_cell_length_b 4.8040
_cell_length_c 10.1173
_cell_angle_alpha 90.00
_cell_angle_beta 90.49
_cell_angle_gamma 90.00
loop_
_atom_site_label
_atom_site_type_symbol
_atom_site_fract_x
_atom_site_fract_y
_atom_site_fract_z
Ho1 Ho 0.0000 0.0000 0.0000
Ho2 Ho 0.0017 0.0000 0.3350
Ho3 Ho 0.1646 0.5000 0.3324
Ho4 Ho 0.1669 0.5000 0.6674
Ho5 Ho 0.1685 0.5000 0.0025
Ru1 Ru 0.0026 0.5000 0.8360
Ru2 Ru 0.1642 0.0000 0.8308
Ru3 Ru 0.1692 0.0000 0.5030
```

Calculated values
For the total magnetization, the calculation gives 0.00 μB per cell. The energy above the lowest structure with this stoichiometry is 0.016 eV per atom. For the calculated total energy, the calculation gives -6.737 eV per atom.

Look up the total magnetization of the first one. 0.00 μB per cell